# CuI2Cl PBE optimized geometry
# - Magnetization: 0.00 μB/f.u.
# - Formation energy from raw total energies: 0.507 eV/atom
# - VASP energy: -28.1 eV for the cell shown
data_CuI2Cl
_chemical_formula_sum 'Cu4 I8 Cl4'
_symmetry_space_group_name_H-M 'F m -3 m'
_symmetry_Int_Tables_number 225
_symmetry_space_group_name_Hall '-F 4 2 3'
_cell_length_a 7.377
_cell_length_b 7.377
_cell_length_c 7.377
_cell_angle_alpha 90.00
_cell_angle_beta 90.00
_cell_angle_gamma 90.00
loop_
_atom_site_label
_atom_site_type_symbol
_atom_site_fract_x
_atom_site_fract_y
_atom_site_fract_z
Cu1 Cu 0.000 0.000 0.000
I1 I 0.250 0.250 0.250
Cl1 Cl 0.000 0.000 0.500

# Cu4I3Cl PBE optimized geometry
# - Magnetization: 0.00 μB/f.u.
# - Formation energy from raw total energies: -0.184 eV/atom
# - VASP energy: -48.7 eV for the cell shown
data_Cu4I3Cl
_chemical_formula_sum 'Cu8 I6 Cl2'
_symmetry_space_group_name_H-M 'P m n 21'
_symmetry_Int_Tables_number 31
_cell_length_a 8.339
_cell_length_b 7.220
_cell_length_c 6.861
_cell_angle_alpha 90.00
_cell_angle_beta 90.00
_cell_angle_gamma 90.00
loop_
_symmetry_equiv_pos_as_xyz
'x,y,z'
'-x+1/2,-y,z+1/2'
'-x,y,z'
'x+1/2,-y,z+1/2'
loop_
_atom_site_label
_atom_site_type_symbol
_atom_site_fract_x
_atom_site_fract_y
_atom_site_fract_z
Cu1 Cu 0.000 0.143 0.000
Cu2 Cu 0.000 0.824 0.535
Cu3 Cu 0.237 0.677 0.999
I1 I 0.000 0.157 0.381
I2 I 0.248 0.332 0.880
Cl1 Cl 0.000 0.830 0.882

# Cu2ICl2 PBE optimized geometry
# - Magnetization: 0.00 μB/f.u.
# - Formation energy from raw total energies: -0.304 eV/atom
# - VASP energy: -29.9 eV for the cell shown
data_Cu2ICl2
_chemical_formula_sum 'Cu4 I2 Cl4'
_symmetry_space_group_name_H-M 'P -1'
_symmetry_Int_Tables_number 2
_cell_length_a 6.464
_cell_length_b 6.669
_cell_length_c 6.710
_cell_angle_alpha 77.14
_cell_angle_beta 61.61
_cell_angle_gamma 70.73
loop_
_symmetry_equiv_pos_as_xyz
'x,y,z'
'-x,-y,-z'
loop_
_atom_site_label
_atom_site_type_symbol
_atom_site_fract_x
_atom_site_fract_y
_atom_site_fract_z
Cu1 Cu 0.137 0.480 0.174
Cu2 Cu 0.252 0.028 0.866
I1 I 0.445 0.744 0.100
Cl1 Cl 0.083 0.763 0.807
Cl2 Cl 0.192 0.279 0.594

Here are the calculated E above lowest polymorph numbers, same order: 0.695 0.000 0.000 (eV per atom).